1.
Material: Ba2TaCr
Method: DFT, PBE-GGA
State: relaxed

Values from the calculation:
Volume   33.38 A^3/atom
D(E_F)   5.0 states/eV/cell
Uncorrected energy   -5.525 eV/atom
Formation enthalpy at 0 K   0.8049 eV/atom

Cell lengths 10.1351, 10.1351, 3.9309 Å; angles 100.88, 100.88, 19.69 degrees
Last column: nearest neighbours and their distance in Å.
Atoms (fractional coordinates):
Ba: 0.1509 0.1509 0.1387  2 Cr 3.43, 2 Ba 3.47, 2 Ta 3.53-3.57
Ba: 0.8491 0.8491 0.8613  2 Cr 3.43, 2 Ba 3.47, 2 Ta 3.53-3.57
Ta: 0.0000 0.0000 0.5000  4 Cr 2.62
Cr: 0.5000 0.5000 0.0000  4 Ta 2.62

---

2.
Material: Ba2TaCr
Method: DFT, PBE-GGA
State: relaxed

Values from the calculation:
Volume   27.84 A^3/atom
D(E_F)   11.0 states/eV/cell
Uncorrected energy   -4.499 eV/atom
Formation enthalpy at 0 K   1.8314 eV/atom

Cell lengths 5.4001, 5.4001, 5.4001 Å; angles 60.00, 60.00, 60.00 degrees
Last column: nearest neighbours and their distance in Å.
Atoms (fractional coordinates):
Ba: 0.2500 0.2500 0.2500  4 Cr 3.31, 4 Ta 3.31
Ba: 0.7500 0.7500 0.7500  4 Cr 3.31, 4 Ta 3.31
Ta: 0.0000 0.0000 0.0000  8 Ba 3.31
Cr: 0.5000 0.5000 0.5000  8 Ba 3.31

---

3.
Material: Ba2TaCr
Method: DFT, PBE-GGA
State: relaxed

Values from the calculation:
Volume   31.61 A^3/atom
D(E_F)   4.1 states/eV/cell
Uncorrected energy   -5.637 eV/atom
Formation enthalpy at 0 K   0.6934 eV/atom

Cell lengths 3.5599, 3.5599, 9.9764 Å; angles 90.00, 90.00, 90.00 degrees
Last column: nearest neighbours and their distance in Å.
Atoms (fractional coordinates):
Ba: 0.0000 0.0000 0.0000  1 Cr 3.47, 4 Ba 3.56, 4 Ta 3.65
Ba: 0.5000 0.5000 0.4002  1 Ta 3.35, 4 Cr 3.56, 4 Ba 3.56
Ta: 0.5000 0.5000 0.7355  4 Cr 2.65
Cr: 0.0000 0.0000 0.6522  4 Ta 2.65

---

4.
Material: Ba2TaCr
Method: DFT, PBE-GGA
State: relaxed

Values from the calculation:
Volume   37.97 A^3/atom
D(E_F)   4.2 states/eV/cell
Uncorrected energy   -5.560 eV/atom
Formation enthalpy at 0 K   0.7707 eV/atom

Cell lengths 4.3598, 4.3598, 9.5417 Å; angles 102.61, 102.61, 59.91 degrees
Last column: nearest neighbours and their distance in Å.
Atoms (fractional coordinates):
Ba: 0.0000 0.0000 0.0000  3 Cr 3.50-3.51, 3 Ta 3.51-3.52
Ba: 0.1692 0.1692 0.5293  3 Ta 3.50, 3 Cr 3.51
Ta: 0.7522 0.7522 0.2660  3 Cr 2.52
Cr: 0.4185 0.4185 0.2645  3 Ta 2.52

---

5.
Material: BaTaCr2
Method: DFT, PBE-GGA
State: relaxed

Values from the calculation:
Volume   20.67 A^3/atom
D(E_F)   3.9 states/eV/cell
Uncorrected energy   -7.527 eV/atom
Formation enthalpy at 0 K   0.7286 eV/atom

Cell lengths 3.0743, 3.0743, 8.7500 Å; angles 90.00, 90.00, 90.00 degrees
Last column: nearest neighbours and their distance in Å.
Atoms (fractional coordinates):
Ba: 0.0000 0.0000 0.0000  4 Ba 3.07
Ta: 0.5000 0.5000 0.6512  5 Cr 2.73-2.89
Cr: 0.0000 0.0000 0.4625  4 Cr 2.50, 4 Ta 2.73
Cr: 0.5000 0.5000 0.3213  4 Cr 2.50

---

6.
Material: BaTaCr2
Method: DFT, PBE-GGA
State: relaxed

Values from the calculation:
Volume   23.26 A^3/atom
D(E_F)   4.5 states/eV/cell
Uncorrected energy   -7.414 eV/atom
Formation enthalpy at 0 K   0.8412 eV/atom

Cell lengths 7.1439, 7.1439, 7.1439 Å; angles 154.27, 143.90, 44.87 degrees
Last column: nearest neighbours and their distance in Å.
Atoms (fractional coordinates):
Ba: 0.0000 0.0000 0.0000  2 Ba 3.18, 6 Cr 3.41-3.46
Ta: 0.7332 0.2332 0.5000  6 Cr 2.62-2.73
Cr: 0.2286 0.7286 0.5000  2 Cr 2.16
Cr: 0.3391 0.3391 0.0000  2 Cr 2.16

---

7.
Material: BaTaCr2
Method: DFT, PBE-GGA
State: relaxed

Values from the calculation:
Volume   21.38 A^3/atom
D(E_F)   2.0 states/eV/cell
Uncorrected energy   -7.055 eV/atom
Formation enthalpy at 0 K   1.2005 eV/atom

Cell lengths 4.9454, 4.9454, 4.9454 Å; angles 60.00, 60.00, 60.00 degrees
Last column: nearest neighbours and their distance in Å.
Atoms (fractional coordinates):
Ba: 0.0000 0.0000 0.0000  8 Cr 3.03
Ta: 0.5000 0.5000 0.5000  8 Cr 3.03
Cr: 0.2500 0.2500 0.2500  4 Ba 3.03, 4 Ta 3.03
Cr: 0.7500 0.7500 0.7500  4 Ba 3.03, 4 Ta 3.03

---

8.
Material: BaTaCr2
Method: DFT, PBE-GGA
State: relaxed

Values from the calculation:
Volume   21.98 A^3/atom
D(E_F)   3.1 states/eV/cell
Uncorrected energy   -6.898 eV/atom
Formation enthalpy at 0 K   1.3571 eV/atom

Cell lengths 5.6537, 5.6537, 5.6537 Å; angles 135.37, 135.37, 64.96 degrees
Last column: nearest neighbours and their distance in Å.
Atoms (fractional coordinates):
Ba: 0.0000 0.0000 0.0000  8 Cr 3.04-3.21, 4 Ta 3.21
Ta: 0.7500 0.2500 0.5000  8 Cr 3.04-3.21, 4 Ba 3.21
Cr: 0.2500 0.7500 0.5000  4 Ta 3.04, 4 Ba 3.21, 4 Cr 3.21
Cr: 0.5000 0.5000 0.0000  4 Ba 3.04, 4 Cr 3.21, 4 Ta 3.21

---

9.
Material: BaTaCr2
Method: DFT, PBE-GGA
State: relaxed

Values from the calculation:
Volume   21.51 A^3/atom
D(E_F)   4.0 states/eV/cell
Uncorrected energy   -7.226 eV/atom
Formation enthalpy at 0 K   1.0299 eV/atom

Cell lengths 9.7233, 9.7233, 9.7233 Å; angles 19.10, 19.10, 19.10 degrees
Last column: nearest neighbours and their distance in Å.
Atoms (fractional coordinates):
Ba: 0.0000 0.0000 0.0000  6 Ba 3.23, 6 Cr 3.45
Ta: 0.5000 0.5000 0.5000  6 Cr 2.64
Cr: 0.2320 0.2320 0.2320  3 Ta 2.64
Cr: 0.7680 0.7680 0.7680  3 Ta 2.64

---

10.
Material: Ba2TaCr
Method: DFT, PBE-GGA
State: relaxed

Values from the calculation:
Volume   31.25 A^3/atom
D(E_F)   4.0 states/eV/cell
Uncorrected energy   -5.642 eV/atom
Formation enthalpy at 0 K   0.6887 eV/atom

Cell lengths 3.5063, 3.5756, 10.1106 Å; angles 90.00, 99.58, 90.00 degrees
Last column: nearest neighbours and their distance in Å.
Atoms (fractional coordinates):
Ba: 0.0000 0.0000 0.0000  1 Cr 3.50, 4 Ba 3.51-3.58, 4 Ta 3.65-3.66
Ba: 0.2104 0.5000 0.3955  1 Ta 3.37, 4 Ba 3.51-3.58, 4 Cr 3.55-3.56
Ta: 0.3712 0.5000 0.7331  4 Cr 2.64
Cr: 0.8308 0.0000 0.6488  4 Ta 2.64

---

11.
Material: BaTaCr2
Method: DFT, PBE-GGA
State: relaxed

Values from the calculation:
Volume   20.80 A^3/atom
D(E_F)   3.3 states/eV/cell
Uncorrected energy   -7.235 eV/atom
Formation enthalpy at 0 K   1.0209 eV/atom

Cell lengths 9.9964, 9.9964, 9.9964 Å; angles 17.99, 17.99, 17.99 degrees
Last column: nearest neighbours and their distance in Å.
Atoms (fractional coordinates):
Ba: 0.0000 0.0000 0.0000  6 Ba 3.13
Ta: 0.7732 0.7732 0.7732  3 Cr 2.65
Cr: 0.2294 0.2294 0.2294  3 Cr 2.47
Cr: 0.5057 0.5057 0.5057  3 Cr 2.47, 3 Ta 2.65

---

12.
Material: BaTaCr2
Method: DFT, PBE-GGA
State: relaxed

Values from the calculation:
Volume   24.20 A^3/atom
D(E_F)   3.7 states/eV/cell
Uncorrected energy   -6.995 eV/atom
Formation enthalpy at 0 K   1.2602 eV/atom

Cell lengths 6.0388, 6.0388, 6.0388 Å; angles 148.66, 121.15, 68.20 degrees
Last column: nearest neighbours and their distance in Å.
Atoms (fractional coordinates):
Ba: 0.0000 0.0000 0.0000  2 Ba 3.26, 4 Ta 3.39, 8 Cr 3.40-3.59
Ta: 0.5000 0.5000 0.0000  4 Cr 2.60
Cr: 0.2981 0.7981 0.5000  2 Ta 2.60
Cr: 0.7019 0.2019 0.5000  2 Ta 2.60

---

Number 1: ΔE to the lowest computed polymorph 0.116 eV/atom. Number 2: ΔE to the lowest computed polymorph 1.143 eV/atom. Number 3: ΔE to the lowest computed polymorph 0.005 eV/atom. Number 4: ΔE to the lowest computed polymorph 0.082 eV/atom. Number 5: ΔE to the lowest computed polymorph 0.016 eV/atom. Number 6: ΔE to the lowest computed polymorph 0.129 eV/atom. Number 7: ΔE to the lowest computed polymorph 0.488 eV/atom. Number 8: ΔE to the lowest computed polymorph 0.645 eV/atom. Number 9: ΔE to the lowest computed polymorph 0.317 eV/atom. Number 10: ΔE to the lowest computed polymorph 0.000 eV/atom. Number 11: ΔE to the lowest computed polymorph 0.308 eV/atom. Number 12: ΔE to the lowest computed polymorph 0.548 eV/atom.